1.
Pm2P4Pt3Rh | PBE-GGA | relaxed

Properties
The value obtained for the magnetization is 0.0 μB per cell. As for the density of states at the Fermi level: 4.9 states/eV per cell. Its symmetry is P-4m2. The calculation puts the density at 10.486 Mg/m³. As for the calculated total energy: -66.69 eV for the cell shown. The volume comes out at 17.5 A^3/atom.

The structure in POSCAR format:
```
Pm2P4Pt3Rh
1.0
4.274 0.000 0.000
0.000 4.274 0.000
0.000 0.000 9.556
Pm Pt P Rh
2 3 4 1
direct
0.000 0.500 0.754
0.500 0.000 0.246
0.000 0.000 0.500
0.000 0.500 0.118
0.500 0.000 0.882
0.500 0.000 0.631
0.000 0.000 0.000
0.000 0.500 0.369
0.500 0.500 0.000
0.500 0.500 0.500
```

=====

2.
PmP2PtRh5 | PBE-GGA | relaxed

Properties
The value obtained for the magnetization is 0.0 μB per cell. As for the density of states at the Fermi level: 6.1 states/eV per cell. Its symmetry is P4/mmm. The calculation puts the density at 9.321 Mg/m³. As for the calculated total energy: -62.63 eV for the cell shown. The volume comes out at 18.1 A^3/atom.

The structure in POSCAR format:
```
PmP2PtRh5
1.0
3.982 0.000 0.000
0.000 3.982 0.000
0.000 0.000 10.299
Pt Rh P Pm
1 5 2 1
direct
0.000 0.000 0.000
0.500 0.000 0.170
0.000 0.500 0.170
0.500 0.000 0.830
0.500 0.500 0.500
0.000 0.500 0.830
0.500 0.500 0.721
0.500 0.500 0.279
0.000 0.000 0.500
```

=====

Q: The highest calculated total energy belongs to which entry?
A: PmP2PtRh5